SrDy6 after structural relaxation, computed with PBE-GGA.

The structure in CIF format:
```
data_SrDy6
_space_group_name_H-M_alt 'I m -3 m'
_space_group_IT_number 229
_space_group_name_Hall '-I 4 2 3'
_cell_length_a 8.355
_cell_length_b 8.355
_cell_length_c 8.355
_cell_angle_alpha 90.00
_cell_angle_beta 90.00
_cell_angle_gamma 90.00
loop_
_atom_site_label
_atom_site_type_symbol
_atom_site_fract_x
_atom_site_fract_y
_atom_site_fract_z
Sr1 Sr 0.000 0.000 0.000
Dy1 Dy 0.000 0.250 0.500
```

Output
Crystal system ... cubic
Total DFT energy (no corrections) ... -40.29 eV/cell
DOS(E_F) ... 23.71 states/eV per cell
V ... 41.66 A^3/atom

Sr3Dy after structural relaxation, computed with PBE-GGA.

The structure in CIF format:
```
data_Sr3Dy
_space_group_name_H-M_alt 'I m m 2'
_space_group_IT_number 44
_cell_length_a 4.341
_cell_length_b 12.949
_cell_length_c 6.458
_cell_angle_alpha 90.00
_cell_angle_beta 90.00
_cell_angle_gamma 90.00
loop_
_space_group_symop_operation_xyz
'x,y,z'
'-x,-y,z'
'-x,y,z'
'x,-y,z'
'x+1/2,y+1/2,z+1/2'
'-x+1/2,-y+1/2,z+1/2'
'-x+1/2,y+1/2,z+1/2'
'x+1/2,-y+1/2,z+1/2'
loop_
_atom_site_label
_atom_site_type_symbol
_atom_site_fract_x
_atom_site_fract_y
_atom_site_fract_z
Sr1 Sr 0.000 0.000 0.000
Sr2 Sr 0.000 0.237 0.503
Dy1 Dy 0.000 0.500 0.000
```

Output
E above lowest polymorph ... 0.000 eV per formula unit
Crystal system ... orthorhombic
Total DFT energy (no corrections) ... -17.86 eV/cell
DOS(E_F) ... 8.43 states/eV per cell
V ... 45.37 A^3/atom

Sr3Dy after structural relaxation, computed with PBE-GGA.

The structure in CIF format:
```
data_Sr3Dy
_space_group_name_H-M_alt 'F m -3 m'
_space_group_IT_number 225
_space_group_name_Hall '-F 4 2 3'
_cell_length_a 8.981
_cell_length_b 8.981
_cell_length_c 8.981
_cell_angle_alpha 90.00
_cell_angle_beta 90.00
_cell_angle_gamma 90.00
loop_
_atom_site_label
_atom_site_type_symbol
_atom_site_fract_x
_atom_site_fract_y
_atom_site_fract_z
Sr1 Sr 0.000 0.000 0.000
Sr2 Sr 0.250 0.250 0.250
Dy1 Dy 0.000 0.000 0.500
```

Output
E above lowest polymorph ... 0.056 eV per formula unit
Crystal system ... cubic
Total DFT energy (no corrections) ... -35.49 eV/cell
DOS(E_F) ... 16.60 states/eV per cell
V ... 45.28 A^3/atom

SrDy3 after structural relaxation, computed with PBE-GGA.

The structure in CIF format:
```
data_SrDy3
_space_group_name_H-M_alt 'P m m 2'
_space_group_IT_number 25
_cell_length_a 3.677
_cell_length_b 5.840
_cell_length_c 6.582
_cell_angle_alpha 90.00
_cell_angle_beta 90.00
_cell_angle_gamma 90.00
loop_
_space_group_symop_operation_xyz
'x,y,z'
'-x,-y,z'
'-x,y,z'
'x,-y,z'
loop_
_atom_site_label
_atom_site_type_symbol
_atom_site_fract_x
_atom_site_fract_y
_atom_site_fract_z
Sr1 Sr 0.000 0.000 0.000
Dy1 Dy 0.000 0.500 0.658
Dy2 Dy 0.500 0.000 0.498
Dy3 Dy 0.500 0.500 0.193
```

Output
E above lowest polymorph ... 0.038 eV per formula unit
Crystal system ... orthorhombic
Total DFT energy (no corrections) ... -14.78 eV/cell
DOS(E_F) ... 7.51 states/eV per cell
V ... 35.34 A^3/atom

Sr6Dy after structural relaxation, computed with PBE-GGA.

The structure in CIF format:
```
data_Sr6Dy
_space_group_name_H-M_alt 'I m -3 m'
_space_group_IT_number 229
_space_group_name_Hall '-I 4 2 3'
_cell_length_a 9.892
_cell_length_b 9.892
_cell_length_c 9.892
_cell_angle_alpha 90.00
_cell_angle_beta 90.00
_cell_angle_gamma 90.00
loop_
_atom_site_label
_atom_site_type_symbol
_atom_site_fract_x
_atom_site_fract_y
_atom_site_fract_z
Sr1 Sr 0.000 0.250 0.500
Dy1 Dy 0.000 0.000 0.000
```

Output
Crystal system ... cubic
Total DFT energy (no corrections) ... -11.07 eV/cell
DOS(E_F) ... 33.25 states/eV per cell
V ... 69.13 A^3/atom

Sr3Dy after structural relaxation, computed with PBE-GGA.

The structure in CIF format:
```
data_Sr3Dy
_space_group_name_H-M_alt 'P 63/m m c'
_space_group_IT_number 194
_space_group_name_Hall '-P 6c 2c'
_cell_length_a 8.0872
_cell_length_b 8.0872
_cell_length_c 6.5504
_cell_angle_alpha 90.00
_cell_angle_beta 90.00
_cell_angle_gamma 120.00
loop_
_atom_site_label
_atom_site_type_symbol
_atom_site_fract_x
_atom_site_fract_y
_atom_site_fract_z
Sr1 Sr 0.1718 0.3436 0.2500
Dy1 Dy 0.3333 0.6667 0.7500
```

Output
E above lowest polymorph ... 0.092 eV per formula unit
Crystal system ... hexagonal
Total DFT energy (no corrections) ... -17.67 eV/cell
DOS(E_F) ... 13.76 states/eV per cell
V ... 46.38 A^3/atom